1.
Computed, not measured: Ac4PdPt after structural relaxation at the PBE level of DFT.

POSCAR file:
```
Ac4PdPt
1.0
8.5568 -0.2261 0.0000
-3.6622 7.7368 0.0000
-2.4473 -3.7554 7.2923
Ac Pt Pd
8 2 2
direct
0.7483 0.4487 0.7004
0.2516 0.5530 0.3014
0.7483 0.0479 0.2996
0.7980 0.9983 0.7996
0.2516 0.9502 0.6986
0.3030 0.5016 0.8014
0.7002 0.5016 0.1986
0.1987 0.9983 0.2004
0.7501 0.7501 0.0000
0.5001 0.0001 0.5000
0.2500 0.2500 0.0000
0.0000 0.5000 0.5000
```

=====

2.
Computed, not measured: Ac4PdPt after structural relaxation at the PBE level of DFT.

POSCAR file:
```
Ac4PdPt
1.0
1.0801 -0.8392 -6.7216
2.7884 -7.0268 1.3253
-7.9724 -2.5149 3.4394
Ac Pt Pd
8 2 2
direct
0.6620 0.7500 0.6106
0.1678 0.7500 0.1138
0.2450 0.5002 0.7463
0.7550 0.0002 0.2537
0.2450 0.9998 0.7463
0.3380 0.2500 0.3894
0.7550 0.4998 0.2537
0.8322 0.2500 0.8862
0.8438 0.2500 0.5518
0.1562 0.7500 0.4482
0.6555 0.7500 0.9484
0.3445 0.2500 0.0516
```

=====

Question: which arrangement is favored energetically? Ranking from most to least stable: 2, 1.